[1]
The following is a DFT calculation (PBE) of CaAcPm14 after structural relaxation. Values from VASP.

```
&SYSTEM
  ibrav = 0, nat = 16, ntyp = 3
/
ATOMIC_SPECIES
Ca 40.08 Ca.upf
Ac 227.00 Ac.upf
Pm 145.00 Pm.upf
ATOMIC_POSITIONS angstrom
Ca 0.000 0.000 0.000
Ac 0.000 0.000 6.434
Pm 0.000 -1.837 3.229
Pm 0.000 1.837 3.229
Pm 2.994 0.000 4.288
Pm 2.992 0.000 10.735
Pm 3.029 -1.845 7.562
Pm 3.029 1.845 7.562
Pm 5.936 0.000 6.465
Pm 5.936 -1.860 9.689
Pm 5.936 1.860 9.689
Pm 5.936 0.000 12.919
Pm 8.844 -1.845 7.562
Pm 8.844 1.845 7.562
Pm 8.879 0.000 4.288
Pm 8.881 0.000 10.735
CELL_PARAMETERS angstrom
11.873 0.000 0.000
0.000 3.720 6.464
0.000 -3.720 6.464
```

ΔE_f: 0.044 eV per atom

=====

[2]
The following is a DFT calculation (PBE) of Pu4Ga2Au5 after structural relaxation. Values from VASP.

```
&SYSTEM
  ibrav = 0, nat = 11, ntyp = 3
/
ATOMIC_SPECIES
Pu 244.00 Pu.upf
Ga 69.72 Ga.upf
Au 196.97 Au.upf
ATOMIC_POSITIONS angstrom
Pu 0.821 0.000 3.905
Pu 1.191 0.000 9.391
Pu 5.377 0.000 0.501
Pu 5.747 0.000 5.987
Ga 3.131 1.590 2.202
Ga 3.437 1.590 7.690
Au 0.350 1.590 1.365
Au 0.814 1.590 6.617
Au 3.284 1.590 4.946
Au 5.755 1.590 3.275
Au 6.218 1.590 8.527
CELL_PARAMETERS angstrom
7.655 0.000 0.000
0.000 3.180 0.000
-1.087 0.000 9.892
```

ΔE_f: -0.386 eV per atom

=====

[3]
The following is a DFT calculation (PBE) of Li2ScGaF after structural relaxation. Values from VASP.

```
&SYSTEM
  ibrav = 0, nat = 5, ntyp = 4
/
ATOMIC_SPECIES
Li 6.94 Li.upf
Sc 44.96 Sc.upf
Ga 69.72 Ga.upf
F 19.00 F.upf
ATOMIC_POSITIONS angstrom
Li 0.000 2.008 0.000
Li 2.008 0.000 0.000
Sc 0.000 0.000 2.306
Ga 2.008 2.008 2.306
F 0.000 0.000 0.000
CELL_PARAMETERS angstrom
4.016 0.000 0.000
0.000 4.016 0.000
0.000 0.000 4.612
```

Uncorrected energy: -4.2676 eV per atom

=====

[4]
The following is a DFT calculation (PBE) of VGaIr3 after structural relaxation. Values from VASP.

```
&SYSTEM
  ibrav = 0, nat = 5, ntyp = 3
/
ATOMIC_SPECIES
V 50.94 V.upf
Ga 69.72 Ga.upf
Ir 192.22 Ir.upf
ATOMIC_POSITIONS angstrom
V 0.000 0.000 0.000
Ga 2.251 2.251 2.251
Ir 0.000 2.251 2.251
Ir 2.251 0.000 2.251
Ir 2.251 2.251 0.000
CELL_PARAMETERS angstrom
4.502 0.000 0.000
0.000 4.502 0.000
0.000 0.000 4.502
```

ΔE_f: 1.166 eV per atom
E above lowest polymorph: 0.0567 eV/atom

=====

[5]
The following is a DFT calculation (PBE) of BaCo6S8 after structural relaxation. Values from VASP.

```
&SYSTEM
  ibrav = 0, nat = 15, ntyp = 3
/
ATOMIC_SPECIES
Ba 137.33 Ba.upf
Co 58.93 Co.upf
S 32.06 S.upf
ATOMIC_POSITIONS angstrom
Ba 0.000 0.000 0.000
Co -1.693 -0.108 4.297
Co 0.940 -1.412 4.297
Co -0.753 -1.520 6.752
Co 0.753 1.520 4.297
Co -0.940 1.412 6.752
Co 1.693 0.108 6.752
S -1.117 -2.291 4.636
S 0.000 0.000 2.963
S -2.542 -0.178 6.413
S -1.426 2.113 4.636
S 1.426 -2.113 6.413
S 2.542 0.178 4.636
S 0.000 0.000 8.086
S 1.117 2.291 6.413
CELL_PARAMETERS angstrom
4.423 2.553 3.683
-4.423 2.553 3.683
0.000 -5.107 3.683
```

Uncorrected energy: -5.7465 eV per atom

=====

[6]
The following is a DFT calculation (PBE) of ZrCd2Si2 after structural relaxation. Values from VASP.

```
&SYSTEM
  ibrav = 0, nat = 5, ntyp = 3
/
ATOMIC_SPECIES
Zr 91.22 Zr.upf
Cd 112.41 Cd.upf
Si 28.09 Si.upf
ATOMIC_POSITIONS angstrom
Zr 0.000 0.000 0.000
Cd 1.977 0.000 3.166
Cd 0.000 1.977 3.166
Si 0.000 0.000 5.179
Si 0.000 0.000 7.486
CELL_PARAMETERS angstrom
-1.977 1.977 6.333
1.977 -1.977 6.333
1.977 1.977 -6.333
```

Uncorrected energy: -4.1255 eV per atom

=====

[7]
The following is a DFT calculation (PBE) of RbCoTe2N after structural relaxation. Values from VASP.

```
&SYSTEM
  ibrav = 0, nat = 5, ntyp = 4
/
ATOMIC_SPECIES
Rb 85.47 Rb.upf
Co 58.93 Co.upf
Te 127.60 Te.upf
N 14.01 N.upf
ATOMIC_POSITIONS angstrom
Rb 0.000 0.000 0.000
Co 2.999 2.999 1.696
Te 0.000 2.999 1.696
Te 2.999 0.000 1.696
N 2.999 2.999 0.000
CELL_PARAMETERS angstrom
5.997 0.000 0.000
0.000 5.997 0.000
0.000 0.000 3.392
```

E above lowest polymorph: 0.0000 eV/atom

=====

[8]
The following is a DFT calculation (PBE) of Cs3Hg3Sb after structural relaxation. Values from VASP.

```
&SYSTEM
  ibrav = 0, nat = 14, ntyp = 3
/
ATOMIC_SPECIES
Cs 132.91 Cs.upf
Hg 200.59 Hg.upf
Sb 121.76 Sb.upf
ATOMIC_POSITIONS angstrom
Cs -0.402 0.000 5.024
Cs -0.516 0.000 10.745
Cs -0.217 0.000 16.993
Cs 9.139 0.000 1.604
Cs 9.438 0.000 7.852
Cs 9.325 0.000 13.573
Hg -4.162 0.000 17.418
Hg 3.666 0.000 5.096
Hg 3.596 0.000 10.688
Hg 5.326 0.000 7.909
Hg 5.257 0.000 13.501
Hg 13.084 0.000 1.180
Sb 5.173 0.000 2.423
Sb 3.750 0.000 16.174
CELL_PARAMETERS angstrom
6.994 -2.564 0.000
6.994 2.564 0.000
-5.066 0.000 18.597
```

Uncorrected energy: -1.3930 eV per atom

=====

[9]
The following is a DFT calculation (PBE) of TbPmNi2 after structural relaxation. Values from VASP.

```
&SYSTEM
  ibrav = 0, nat = 4, ntyp = 3
/
ATOMIC_SPECIES
Tb 158.93 Tb.upf
Pm 145.00 Pm.upf
Ni 58.69 Ni.upf
ATOMIC_POSITIONS angstrom
Tb 0.000 0.000 0.000
Pm 2.129 0.000 2.865
Ni 0.000 0.000 7.314
Ni 2.129 0.000 5.827
CELL_PARAMETERS angstrom
4.259 0.000 0.000
0.000 1.895 5.171
0.000 -1.895 5.171
```

ΔE_f: -0.393 eV per atom
E above lowest polymorph: 0.0000 eV/atom

=====

[10]
The following is a DFT calculation (PBE) of MgTlPd after structural relaxation. Values from VASP.

```
&SYSTEM
  ibrav = 0, nat = 3, ntyp = 3
/
ATOMIC_SPECIES
Mg 24.30 Mg.upf
Tl 204.38 Tl.upf
Pd 106.42 Pd.upf
ATOMIC_POSITIONS angstrom
Mg 0.000 0.000 0.000
Tl 0.000 2.729 1.560
Pd 2.364 1.365 1.584
CELL_PARAMETERS angstrom
4.727 0.000 0.000
-2.364 4.094 0.000
0.000 0.000 3.137
```

ΔE_f: -0.235 eV per atom

=====

[11]
The following is a DFT calculation (PBE) of SiBiC3 after structural relaxation. Values from VASP.

```
&SYSTEM
  ibrav = 0, nat = 5, ntyp = 3
/
ATOMIC_SPECIES
Si 28.09 Si.upf
Bi 208.98 Bi.upf
C 12.01 C.upf
ATOMIC_POSITIONS angstrom
Si 0.000 0.000 0.000
Bi 2.244 2.244 2.244
C 0.000 2.244 2.244
C 2.244 0.000 2.244
C 2.244 2.244 0.000
CELL_PARAMETERS angstrom
4.487 0.000 0.000
0.000 4.487 0.000
0.000 0.000 4.487
```

E above lowest polymorph: 1.5804 eV/atom

=====

[12]
The following is a DFT calculation (PBE) of BeIr2Rh after structural relaxation. Values from VASP.

```
&SYSTEM
  ibrav = 0, nat = 4, ntyp = 3
/
ATOMIC_SPECIES
Be 9.01 Be.upf
Ir 192.22 Ir.upf
Rh 102.91 Rh.upf
ATOMIC_POSITIONS angstrom
Be 0.000 0.000 0.000
Ir 1.880 0.000 1.873
Ir 0.000 0.000 3.746
Rh 0.000 1.880 1.873
CELL_PARAMETERS angstrom
-1.880 1.880 3.746
1.880 -1.880 3.746
1.880 1.880 -3.746
```

ΔE_f: -0.143 eV per atom